[1]
## GeRuF3 (PBE)

Data for a geometry-optimized GeRuF3 structure. Values from VASP.

Properties
For the energy relative to the elements, uncorrected, the calculation gives -681 meV per atom. Its space group is Pm-3m (221). For the density of states at the Fermi level, the calculation gives 5.0 states/eV/cell. As for the total magnetic moment: 1.1 μB per cell. As for the total energy: -22.91 eV per formula unit. The calculation puts the excess energy over the best structure of this formula in the dataset at 23.4 meV per atom.

Quantum ESPRESSO input file:
```
&SYSTEM
  ibrav = 0, nat = 5, ntyp = 3
/
ATOMIC_SPECIES
Ge 72.64 Ge.upf
Ru 101.07 Ru.upf
F 19.00 F.upf
CELL_PARAMETERS angstrom
4.2212 0.0000 0.0000
0.0000 4.2212 0.0000
0.0000 0.0000 4.2212
ATOMIC_POSITIONS crystal
Ge 0.0000 0.0000 0.0000
Ru 0.5000 0.5000 0.5000
F 0.0000 0.5000 0.5000
F 0.5000 0.0000 0.5000
F 0.5000 0.5000 0.0000
```

[2]
## AlZn2Hg (PBE)

Data for a geometry-optimized AlZn2Hg structure. Values from VASP.

Properties
Its space group is I-4m2 (119). For the density of states at the Fermi level, the calculation gives 3.0 states/eV/cell. As for the total magnetic moment: 0.0 μB per cell. Its formation energy is 0.136 eV per atom. As for the total energy: -6.05 eV per formula unit. The calculation puts the excess energy over the best structure of this formula in the dataset at 28.0 meV per atom.

Quantum ESPRESSO input file:
```
&SYSTEM
  ibrav = 0, nat = 8, ntyp = 3
/
ATOMIC_SPECIES
Al 26.98 Al.upf
Zn 65.41 Zn.upf
Hg 200.59 Hg.upf
CELL_PARAMETERS angstrom
4.1496 0.0000 0.0000
0.0000 4.1496 0.0000
0.0000 0.0000 8.2979
ATOMIC_POSITIONS crystal
Al 0.0000 0.0000 0.0000
Al 0.5000 0.5000 0.5000
Zn 0.0000 0.0000 0.5000
Zn 0.0000 0.5000 0.2500
Zn 0.5000 0.0000 0.7500
Zn 0.5000 0.5000 0.0000
Hg 0.0000 0.5000 0.7500
Hg 0.5000 0.0000 0.2500
```

[3]
## K2SrCaI6 (PBE)

Data for a geometry-optimized K2SrCaI6 structure. Values from VASP.

Properties
For the energy relative to the elements, uncorrected, the calculation gives -1582 meV per atom. Its space group is P2_1/c (14). For the density of states at the Fermi level, the calculation gives 0.0 states/eV/cell. As for the total magnetic moment: 0.0 μB per cell. As for the total energy: -31.00 eV per formula unit.

Quantum ESPRESSO input file:
```
&SYSTEM
  ibrav = 0, nat = 20, ntyp = 4
/
ATOMIC_SPECIES
K 39.10 K.upf
Sr 87.62 Sr.upf
Ca 40.08 Ca.upf
I 126.90 I.upf
CELL_PARAMETERS angstrom
8.3609 0.0000 0.0000
0.0000 8.8936 0.0000
-8.3219 0.0000 12.0484
ATOMIC_POSITIONS crystal
K 0.2156 0.0883 0.2493
K 0.2156 0.4117 0.7493
K 0.7844 0.5883 0.2507
K 0.7844 0.9117 0.7507
Sr 0.5000 0.0000 0.0000
Sr 0.5000 0.5000 0.5000
Ca 0.0000 0.0000 0.5000
Ca 0.0000 0.5000 0.0000
I 0.1166 0.1997 0.9347
I 0.1166 0.3003 0.4347
I 0.2431 0.6887 0.9370
I 0.2431 0.8113 0.4370
I 0.3730 0.0403 0.7436
I 0.3730 0.4597 0.2436
I 0.6270 0.5403 0.7564
I 0.6270 0.9597 0.2564
I 0.7569 0.1887 0.5630
I 0.7569 0.3113 0.0630
I 0.8834 0.6997 0.5653
I 0.8834 0.8003 0.0653
```

[4]
## Th12Bi6Os (PBE)

Data for a geometry-optimized Th12Bi6Os structure. Values from VASP.

Properties
Its space group is R-3 (148). For the density of states at the Fermi level, the calculation gives 22.2 states/eV/cell. As for the total magnetic moment: 0.0 μB per cell. Its formation energy is -0.163 eV per atom. As for the total energy: -126.65 eV per formula unit.

Quantum ESPRESSO input file:
```
&SYSTEM
  ibrav = 0, nat = 19, ntyp = 3
/
ATOMIC_SPECIES
Th 232.04 Th.upf
Bi 208.98 Bi.upf
Os 190.23 Os.upf
CELL_PARAMETERS angstrom
6.7040 3.8706 4.1764
-6.7040 3.8706 4.1764
0.0000 -7.7412 4.1764
ATOMIC_POSITIONS crystal
Th 0.0273 0.3270 0.0561
Th 0.0561 0.0273 0.3270
Th 0.2077 0.4174 0.5364
Th 0.3270 0.0561 0.0273
Th 0.4174 0.5364 0.2077
Th 0.4636 0.7923 0.5826
Th 0.5364 0.2077 0.4174
Th 0.5826 0.4636 0.7923
Th 0.6730 0.9439 0.9727
Th 0.7923 0.5826 0.4636
Th 0.9439 0.9727 0.6730
Th 0.9727 0.6730 0.9439
Bi 0.1145 0.6737 0.3247
Bi 0.3247 0.1145 0.6737
Bi 0.3263 0.6753 0.8855
Bi 0.6737 0.3247 0.1145
Bi 0.6753 0.8855 0.3263
Bi 0.8855 0.3263 0.6753
Os 0.0000 0.0000 0.0000
```